# 1
Compound: BaIn2ReOs
Source: the Alexandria database
Functional: GGA-PBEsol
Structure: optimized geometry

abc: 5.133 5.133 5.506
angles: 90.00 90.00 90.00
Atoms (fractional coordinates):
Ba  0.000  0.000  0.500
Re  0.500  0.500  0.500
In  0.500  0.000  0.000
In  0.000  0.500  0.000
Os  0.000  0.000  0.000

## Properties
* magnetic moment: 4.16 μB/cell
* ΔE_f: 1.4754 eV per atom
* theoretical density: 8.51 Mg/m³

---

# 2
Compound: SbSBr
Source: the Alexandria database
Functional: GGA-PBEsol
Structure: optimized geometry

abc: 3.908 8.134 9.870
angles: 90.00 90.00 90.00
Atoms (fractional coordinates):
Sb  0.250  0.622  0.367
Sb  0.750  0.878  0.867
Sb  0.250  0.122  0.133
Sb  0.750  0.378  0.633
S  0.750  0.167  0.955
S  0.750  0.667  0.545
S  0.250  0.333  0.455
S  0.250  0.833  0.045
Br  0.250  0.523  0.819
Br  0.750  0.477  0.181
Br  0.750  0.977  0.319
Br  0.250  0.023  0.681

## Properties
* magnetic moment: 0.00 μB/cell
* uncorrected formation energy: -0.457 eV/atom
* theoretical density: 4.95 Mg/m³

---

# 3
Compound: ZrNi4Ir
Source: the Alexandria database
Functional: GGA-PBEsol
Structure: optimized geometry

abc: 4.714 4.714 4.714
angles: 60.00 60.00 60.00
Atoms (fractional coordinates):
Ni  0.374  0.878  0.374
Ni  0.374  0.374  0.878
Ni  0.878  0.374  0.374
Ni  0.374  0.374  0.374
Ir  0.000  0.000  0.000
Zr  0.750  0.750  0.750

## Properties
* magnetic moment: 0.59 μB/cell
* ΔE_f: -0.3936 eV per atom
* theoretical density: 11.62 Mg/m³

---

# 4
Compound: InCu2Pt
Source: the Alexandria database
Functional: GGA-PBEsol
Structure: optimized geometry

abc: 3.918 3.918 4.667
angles: 114.81 114.81 90.00
Atoms (fractional coordinates):
In  0.500  0.500  0.000
Cu  0.250  0.750  0.500
Cu  0.750  0.250  0.500
Pt  0.000  0.000  0.000

## Properties
* magnetic moment: 0.00 μB/cell
* ΔE_f: -0.1797 eV per atom
* theoretical density: 12.59 Mg/m³

---

# 5
Compound: TaSiRu2
Source: the Alexandria database
Functional: GGA-PBEsol
Structure: optimized geometry

abc: 3.056 4.182 5.100
angles: 114.20 107.44 90.00
Atoms (fractional coordinates):
Ru  0.996  0.996  0.992
Ru  0.769  0.269  0.538
Si  0.489  0.489  0.979
Ta  0.245  0.745  0.491

## Properties
* magnetic moment: 0.00 μB/cell
* uncorrected formation energy: -0.416 eV/atom
* theoretical density: 12.16 Mg/m³

---

# 6
Compound: MnNiMo2
Source: the Alexandria database
Functional: GGA-PBEsol
Structure: optimized geometry

abc: 2.643 4.534 4.534
angles: 108.76 90.00 90.00
Atoms (fractional coordinates):
Mo  0.000  0.000  0.500
Mo  0.000  0.500  0.000
Ni  0.500  0.000  0.000
Mn  0.500  0.500  0.500

## Properties
* magnetic moment: 0.96 μB/cell
* ΔE_f: 0.0970 eV per atom
* offset from the most stable computed form: 0.021 eV/atom
* theoretical density: 9.86 Mg/m³

---

# 7
Compound: CaFe2Os
Source: the Alexandria database
Functional: GGA-PBEsol
Structure: optimized geometry

abc: 2.730 2.730 9.140
angles: 81.41 81.41 60.00
Atoms (fractional coordinates):
Fe  0.242  0.242  0.275
Fe  0.758  0.758  0.725
Ca  0.000  0.000  0.000
Os  0.500  0.500  0.500

## Properties
* magnetic moment: 3.78 μB/cell
* ΔE_f: 0.7238 eV per atom
* offset from the most stable computed form: 0.295 eV/atom
* theoretical density: 9.77 Mg/m³

---

# 8
Compound: LiCoPO4
Source: the Alexandria database
Functional: GGA-PBEsol
Structure: optimized geometry

abc: 5.064 5.151 8.547
angles: 90.21 90.44 60.56
Atoms (fractional coordinates):
P  0.369  0.328  0.807
P  0.697  0.672  0.307
O  0.451  0.004  0.778
O  0.454  0.996  0.278
O  0.019  0.637  0.309
O  0.656  0.363  0.809
O  0.627  0.577  0.467
O  0.145  0.537  0.680
O  0.681  0.463  0.180
O  0.204  0.423  0.967
Li  0.879  0.344  0.988
Li  0.222  0.656  0.488
Co  0.363  0.354  0.180
Co  0.717  0.646  0.680

## Properties
* magnetic moment: 6.00 μB/cell
* uncorrected formation energy: -1.794 eV/atom
* offset from the most stable computed form: 0.058 eV/atom
* theoretical density: 2.75 Mg/m³

---

# 9
Compound: ScAgTe2I
Source: the Alexandria database
Functional: GGA-PBEsol
Structure: optimized geometry

abc: 5.479 5.479 5.578
angles: 90.00 90.00 90.00
Atoms (fractional coordinates):
Te  0.500  0.000  0.000
Te  0.000  0.500  0.000
Ag  0.500  0.500  0.500
Sc  0.000  0.000  0.000
I  0.000  0.000  0.500

## Properties
* magnetic moment: 0.00 μB/cell
* uncorrected formation energy: -0.089 eV/atom
* theoretical density: 5.31 Mg/m³

---

# 10
Compound: SbRhW2
Source: the Alexandria database
Functional: GGA-PBEsol
Structure: optimized geometry

abc: 4.036 4.036 4.868
angles: 114.49 114.49 90.00
Atoms (fractional coordinates):
Sb  0.250  0.750  0.500
W  0.750  0.250  0.500
W  0.000  0.000  0.000
Rh  0.500  0.500  0.000

## Properties
* magnetic moment: 0.00 μB/cell
* uncorrected formation energy: 0.334 eV/atom
* theoretical density: 15.31 Mg/m³

---

# 11
Compound: NaYH2Se
Source: the Alexandria database
Functional: GGA-PBEsol
Structure: optimized geometry

abc: 4.234 4.234 5.146
angles: 90.00 90.00 90.00
Atoms (fractional coordinates):
Na  0.000  0.000  0.500
Se  0.000  0.000  0.000
Y  0.500  0.500  0.500
H  0.500  0.000  0.000
H  0.000  0.500  0.000

## Properties
* magnetic moment: 0.00 μB/cell
* total energy: -3.08 eV per atom
* theoretical density: 3.47 Mg/m³

---

# 12
Compound: BaTePb3
Source: the Alexandria database
Functional: GGA-PBEsol
Structure: optimized geometry

abc: 6.168 6.168 6.168
angles: 90.00 90.00 90.00
Atoms (fractional coordinates):
Pb  0.500  0.000  0.000
Pb  0.000  0.000  0.500
Pb  0.000  0.500  0.000
Ba  0.000  0.000  0.000
Te  0.500  0.500  0.500

## Properties
* magnetic moment: 0.01 μB/cell
* uncorrected formation energy: 1.002 eV/atom
* theoretical density: 6.27 Mg/m³

---

# 13
Compound: Sb2MoBr
Source: the Alexandria database
Functional: GGA-PBEsol
Structure: optimized geometry

abc: 3.343 3.343 9.528
angles: 79.89 79.89 60.00
Atoms (fractional coordinates):
Sb  0.986  0.986  0.042
Sb  0.743  0.743  0.772
Mo  0.251  0.251  0.248
Br  0.521  0.521  0.438

## Properties
* magnetic moment: 0.00 μB/cell
* uncorrected formation energy: 0.141 eV/atom
* offset from the most stable computed form: 0.095 eV/atom
* theoretical density: 7.71 Mg/m³

---

# 14
Compound: TaHg2Te
Source: the Alexandria database
Functional: GGA-PBEsol
Structure: optimized geometry

abc: 3.308 3.308 8.250
angles: 90.00 90.00 90.00
Atoms (fractional coordinates):
Te  0.500  0.500  0.695
Hg  0.000  0.000  0.020
Hg  0.500  0.500  0.280
Ta  0.000  0.000  0.505

## Properties
* magnetic moment: 0.00 μB/cell
* uncorrected formation energy: 0.136 eV/atom
* theoretical density: 13.05 Mg/m³

---

# 15
Compound: Ir2RhBr
Source: the Alexandria database
Functional: GGA-PBEsol
Structure: optimized geometry

abc: 2.839 2.839 8.788
angles: 80.71 80.71 60.00
Atoms (fractional coordinates):
Br  0.247  0.247  0.258
Ir  0.751  0.751  0.747
Ir  0.003  0.003  0.992
Rh  0.499  0.499  0.503

## Properties
* magnetic moment: 0.00 μB/cell
* uncorrected formation energy: 0.562 eV/atom
* offset from the most stable computed form: 0.000 eV/atom
* theoretical density: 15.63 Mg/m³

---

# 16
Compound: ScWSe2
Source: the Alexandria database
Functional: GGA-PBEsol
Structure: optimized geometry

abc: 3.170 4.552 4.552
angles: 90.00 90.00 90.00
Atoms (fractional coordinates):
Se  0.000  0.500  0.000
Se  0.000  0.000  0.500
W  0.500  0.500  0.500
Sc  0.500  0.000  0.000

## Properties
* magnetic moment: 0.00 μB/cell
* uncorrected formation energy: -0.467 eV/atom
* theoretical density: 9.78 Mg/m³

---

# 17
Compound: NaGa2Sn2
Source: the Alexandria database
Functional: GGA-PBEsol
Structure: optimized geometry

abc: 4.817 4.817 6.512
angles: 111.71 111.71 90.00
Atoms (fractional coordinates):
Sn  0.373  0.373  0.745
Sn  0.627  0.627  0.255
Ga  0.750  0.250  0.500
Ga  0.250  0.750  0.500
Na  0.000  0.000  0.000

## Properties
* magnetic moment: 0.00 μB/cell
* ΔE_f: -0.0702 eV per atom
* theoretical density: 5.16 Mg/m³

---

# 18
Compound: Sr2YIrO6
Source: the Alexandria database
Functional: GGA-PBEsol
Structure: optimized geometry

abc: 5.748 5.796 8.150
angles: 90.00 89.59 90.00
Atoms (fractional coordinates):
Sr  0.008  0.036  0.251
Sr  0.508  0.464  0.751
Sr  0.992  0.964  0.749
Sr  0.492  0.536  0.249
O  0.771  0.201  0.963
O  0.198  0.772  0.461
O  0.229  0.799  0.037
O  0.071  0.517  0.735
O  0.302  0.272  0.039
O  0.571  0.983  0.235
O  0.729  0.701  0.537
O  0.929  0.483  0.265
O  0.429  0.017  0.765
O  0.271  0.299  0.463
O  0.698  0.728  0.961
O  0.802  0.228  0.539
Ir  0.000  0.500  0.500
Ir  0.500  0.000  0.000
Y  0.500  0.000  0.500
Y  0.000  0.500  0.000

## Properties
* magnetic moment: 4.08 μB/cell
* uncorrected formation energy: -2.404 eV/atom
* theoretical density: 6.76 Mg/m³

---

# 19
Compound: BaAgHgOs2
Source: the Alexandria database
Functional: GGA-PBEsol
Structure: optimized geometry

abc: 4.978 4.978 5.079
angles: 90.00 90.00 90.00
Atoms (fractional coordinates):
Ag  0.000  0.000  0.000
Hg  0.000  0.000  0.500
Os  0.500  0.000  0.000
Os  0.000  0.500  0.000
Ba  0.500  0.500  0.500

## Properties
* magnetic moment: 3.30 μB/cell
* ΔE_f: 1.6951 eV per atom
* theoretical density: 10.90 Mg/m³

---

# 20
Compound: Cr2SiOs
Source: the Alexandria database
Functional: GGA-PBEsol
Structure: optimized geometry

abc: 2.671 2.671 8.162
angles: 80.58 80.58 60.00
Atoms (fractional coordinates):
Cr  0.748  0.748  0.757
Cr  0.000  0.000  0.000
Os  0.499  0.499  0.503
Si  0.253  0.253  0.240

## Properties
* magnetic moment: 0.00 μB/cell
* uncorrected formation energy: 0.100 eV/atom
* theoretical density: 10.81 Mg/m³